No. 1
Computed, not measured: a geometry-optimized KMg6In6 structure at the GGA-PBE level of DFT.

The structure in POSCAR format:
```
KMg6In6
1.0
-1.918 4.393 3.934
-7.472 -1.090 2.461
1.120 -1.955 7.616
K Mg In
1 6 6
Cartesian
0.000 0.000 0.000 K
-3.736 -0.545 1.231 Mg
-4.695 1.651 3.198 Mg
0.560 -0.978 3.808 Mg
-0.399 1.219 5.775 Mg
-6.404 0.902 5.645 Mg
-1.866 0.445 8.367 Mg
-4.814 -0.466 7.947 In
-3.455 1.814 6.064 In
-1.882 -1.653 5.815 In
-4.470 -1.392 4.262 In
-1.798 0.790 3.129 In
-6.472 0.558 10.883 In
```

Space-group type: Immm, No. 71
DOS(E_F) in states/eV/atom: 0.39
V in Å³/f.u.: 331.1
DFT formation energy in eV per atom: -0.0798



No. 2
Computed, not measured: a geometry-optimized KMg2In2 structure at the GGA-PBE level of DFT.

The structure in POSCAR format:
```
KMg2In2
1.0
-2.489 4.013 -1.167
-3.796 -2.738 -1.321
-5.456 0.948 4.760
K Mg In
1 2 2
Cartesian
0.000 0.000 0.000 K
-5.544 2.799 1.175 Mg
-6.197 -0.577 1.097 Mg
-3.667 0.707 0.116 In
-8.074 1.514 2.156 In
```

Space-group type: I4/mmm, No. 139
DOS(E_F) in states/eV/atom: 0.71
V in Å³/f.u.: 152.4
DFT formation energy in eV per atom: -0.0512